No. 1
# CaNb2Pd, optimized geometry, DFT PBE-GGA
# **Electronic total energy**: -6.26 eV/atom
# **Formation energy**: 569 meV per atom
# **Total magnetic moment**: 0.0 μB/cell
# **Relative energy among the computed polymorphs**: 188 meV/atom
# **Crystal system**: cubic
data_CaNb2Pd
_cell_length_a 4.746
_cell_length_b 4.746
_cell_length_c 4.746
_cell_angle_alpha 60.00
_cell_angle_beta 60.00
_cell_angle_gamma 60.00
_symmetry_space_group_name_H-M 'P 1'
_symmetry_Int_Tables_number 1
_symmetry_space_group_name_Hall 'P 1'
loop_
_atom_site_label
_atom_site_type_symbol
_atom_site_fract_x
_atom_site_fract_y
_atom_site_fract_z
Nb1 Nb 0.250 0.250 0.250
Nb2 Nb 0.750 0.750 0.750
Ca1 Ca 0.000 0.000 0.000
Pd1 Pd 0.500 0.500 0.500


No. 2
# CaNbSiTePd, optimized geometry, DFT PBE-GGA
# **Electronic total energy**: -5.72 eV/atom
# **Formation energy from raw total energies**: -0.56 eV/atom
# **Total magnetic moment**: 0.0 μB/cell
# **Relative energy among the computed polymorphs**: 95 meV/atom
# **Crystal system**: orthorhombic
data_CaNbSiTePd
_cell_length_a 3.875
_cell_length_b 3.720
_cell_length_c 14.444
_cell_angle_alpha 90.00
_cell_angle_beta 90.00
_cell_angle_gamma 90.00
_symmetry_space_group_name_H-M 'P 1'
_symmetry_Int_Tables_number 1
_symmetry_space_group_name_Hall 'P 1'
loop_
_atom_site_label
_atom_site_type_symbol
_atom_site_fract_x
_atom_site_fract_y
_atom_site_fract_z
Ca1 Ca 0.000 0.000 0.952
Ca2 Ca 0.500 0.500 0.452
Nb1 Nb 0.000 0.500 0.190
Nb2 Nb 0.500 0.000 0.690
Si1 Si 0.000 0.500 0.650
Si2 Si 0.500 0.000 0.150
Te1 Te 0.000 0.000 0.340
Te2 Te 0.500 0.500 0.840
Pd1 Pd 0.000 0.000 0.537
Pd2 Pd 0.500 0.500 0.037


No. 3
# CaNbSiTePd, optimized geometry, DFT PBE-GGA
# **Electronic total energy**: -5.72 eV/atom
# **Formation energy from raw total energies**: -0.56 eV/atom
# **Total magnetic moment**: 0.0 μB/cell
# **Relative energy among the computed polymorphs**: 97 meV/atom
# **Crystal system**: orthorhombic
data_CaNbSiTePd
_cell_length_a 4.104
_cell_length_b 4.321
_cell_length_c 12.264
_cell_angle_alpha 90.00
_cell_angle_beta 90.00
_cell_angle_gamma 90.00
_symmetry_space_group_name_H-M 'P 1'
_symmetry_Int_Tables_number 1
_symmetry_space_group_name_Hall 'P 1'
loop_
_atom_site_label
_atom_site_type_symbol
_atom_site_fract_x
_atom_site_fract_y
_atom_site_fract_z
Ca1 Ca 0.000 0.500 0.261
Ca2 Ca 0.500 0.000 0.761
Nb1 Nb 0.000 0.000 0.489
Nb2 Nb 0.500 0.500 0.989
Si1 Si 0.000 0.500 0.868
Si2 Si 0.500 0.000 0.368
Te1 Te 0.000 0.500 0.633
Te2 Te 0.500 0.000 0.133
Pd1 Pd 0.000 0.000 0.949
Pd2 Pd 0.500 0.500 0.449


No. 4
# CaNbSiTePd, optimized geometry, DFT PBE-GGA
# **Electronic total energy**: -5.61 eV/atom
# **Formation energy from raw total energies**: -0.44 eV/atom
# **Total magnetic moment**: 0.0 μB/cell
# **Relative energy among the computed polymorphs**: 213 meV/atom
# **Crystal system**: orthorhombic
data_CaNbSiTePd
_cell_length_a 3.396
_cell_length_b 3.614
_cell_length_c 16.994
_cell_angle_alpha 90.00
_cell_angle_beta 90.00
_cell_angle_gamma 90.00
_symmetry_space_group_name_H-M 'P 1'
_symmetry_Int_Tables_number 1
_symmetry_space_group_name_Hall 'P 1'
loop_
_atom_site_label
_atom_site_type_symbol
_atom_site_fract_x
_atom_site_fract_y
_atom_site_fract_z
Ca1 Ca 0.500 0.000 0.446
Ca2 Ca 0.500 0.500 0.946
Nb1 Nb 0.500 0.000 0.205
Nb2 Nb 0.500 0.500 0.705
Si1 Si 0.000 0.000 0.636
Si2 Si 0.000 0.500 0.136
Te1 Te 0.000 0.000 0.806
Te2 Te 0.000 0.500 0.306
Pd1 Pd 0.000 0.000 0.048
Pd2 Pd 0.000 0.500 0.548


No. 5
# CaNbSiTePd, optimized geometry, DFT PBE-GGA
# **Electronic total energy**: -5.71 eV/atom
# **Formation energy from raw total energies**: -0.54 eV/atom
# **Total magnetic moment**: 0.0 μB/cell
# **Relative energy among the computed polymorphs**: 112 meV/atom
# **Crystal system**: orthorhombic
data_CaNbSiTePd
_cell_length_a 3.884
_cell_length_b 3.694
_cell_length_c 7.274
_cell_angle_alpha 90.00
_cell_angle_beta 90.00
_cell_angle_gamma 90.00
_symmetry_space_group_name_H-M 'P 1'
_symmetry_Int_Tables_number 1
_symmetry_space_group_name_Hall 'P 1'
loop_
_atom_site_label
_atom_site_type_symbol
_atom_site_fract_x
_atom_site_fract_y
_atom_site_fract_z
Ca1 Ca 0.500 0.000 0.107
Nb1 Nb 0.000 0.000 0.586
Si1 Si 0.500 0.500 0.497
Te1 Te 0.000 0.500 0.883
Pd1 Pd 0.000 0.500 0.278


No. 6
# CaNbSiTePd, optimized geometry, DFT PBE-GGA
# **Electronic total energy**: -5.81 eV/atom
# **Formation energy from raw total energies**: -0.65 eV/atom
# **Total magnetic moment**: 0.0 μB/cell
# **Relative energy among the computed polymorphs**: 8 meV/atom
# **Crystal system**: trigonal
data_CaNbSiTePd
_cell_length_a 4.113
_cell_length_b 4.113
_cell_length_c 22.526
_cell_angle_alpha 90.00
_cell_angle_beta 90.00
_cell_angle_gamma 120.00
_symmetry_space_group_name_H-M 'P 1'
_symmetry_Int_Tables_number 1
_symmetry_space_group_name_Hall 'P 1'
loop_
_atom_site_label
_atom_site_type_symbol
_atom_site_fract_x
_atom_site_fract_y
_atom_site_fract_z
Ca1 Ca 0.000 0.000 0.045
Ca2 Ca 0.333 0.667 0.712
Ca3 Ca 0.667 0.333 0.379
Nb1 Nb 0.000 0.000 0.206
Nb2 Nb 0.333 0.667 0.873
Nb3 Nb 0.667 0.333 0.540
Si1 Si 0.000 0.000 0.808
Si2 Si 0.333 0.667 0.474
Si3 Si 0.667 0.333 0.141
Te1 Te 0.000 0.000 0.615
Te2 Te 0.333 0.667 0.282
Te3 Te 0.667 0.333 0.949
Pd1 Pd 0.000 0.000 0.468
Pd2 Pd 0.333 0.667 0.135
Pd3 Pd 0.667 0.333 0.801